# 1
Ir2PtCl | PBE-GGA | relaxed

Summary:
Magnetization, μB/f.u.: 0.0
Formation energy without anion corrections, eV/atom: 0.4608
Calculated density, g/cm³: 12.53
Distance to the lowest polymorph of the same formula, eV/atom: 0.118
SG: Cm
Fermi-level density of states, states/eV per atom: 0.91
Raw total energy, eV per atom: -5.9416

Structure (POSCAR):
```
Ir2PtCl
1.0
8.652 0.000 0.000
0.000 2.801 0.000
-0.447 0.000 6.725
Ir Pt Cl
4 2 2
Cartesian
0.000 0.000 0.000
1.982 1.401 0.934
4.326 1.401 0.000
6.308 0.000 0.934
1.922 0.000 5.401
6.248 1.401 5.401
1.979 0.000 3.004
6.305 1.401 3.004
```

***

# 2
B5C | PBE-GGA | relaxed

Summary:
Magnetization, μB/f.u.: 0.0
Calculated density, g/cm³: 2.61
E_form, eV/atom: 0.323
Distance to the lowest polymorph of the same formula, eV/atom: 0.126
SG: C2/m
Fermi-level density of states, states/eV per atom: 0.05
Raw total energy, eV per atom: -6.7787

Structure (POSCAR):
```
B5C
1.0
6.829 -1.420 0.000
6.829 1.420 0.000
-0.948 0.000 4.327
B C
10 2
Cartesian
0.668 0.000 1.835
3.610 0.000 0.538
3.450 0.000 3.462
4.359 0.000 2.109
5.497 0.000 0.823
7.214 0.000 3.504
8.352 0.000 2.218
9.261 0.000 0.865
9.101 0.000 3.788
12.043 0.000 2.491
-0.517 0.000 3.647
13.228 0.000 0.680
```

***

# 3
TlSnAu6 | PBE-GGA | relaxed

Summary:
Magnetization, μB/f.u.: 0.0
Calculated density, g/cm³: 15.17
E_form, eV/atom: 0.002
SG: Pmm2
Fermi-level density of states, states/eV per atom: 0.30
Raw total energy, eV per atom: -3.2526

Structure (POSCAR):
```
TlSnAu6
1.0
4.891 0.000 0.000
0.000 5.788 0.000
0.000 0.000 5.819
Tl Sn Au
1 1 6
Cartesian
0.000 0.000 0.000
2.446 2.894 1.609
0.000 1.476 2.673
0.000 2.894 5.255
0.000 4.312 2.673
2.446 0.000 2.265
2.446 1.447 4.786
2.446 4.342 4.786
```

***

# 4
La2PrNdGa2 | PBE-GGA | relaxed

Summary:
Magnetization, μB/f.u.: 0.0
Calculated density, g/cm³: 6.65
E_form, eV/atom: -0.403
SG: Pmc2_1
Fermi-level density of states, states/eV per atom: 0.99
Raw total energy, eV per atom: -4.6454

Structure (POSCAR):
```
La2PrNdGa2
1.0
5.255 0.000 0.000
0.000 9.824 0.000
0.000 0.000 6.798
La Pr Nd Ga
4 2 2 4
Cartesian
0.000 0.570 0.000
0.000 9.254 3.399
2.628 1.646 2.046
2.628 8.178 5.445
0.000 3.274 4.636
0.000 6.550 1.237
2.628 4.362 6.683
2.628 5.462 3.284
0.000 3.459 1.410
0.000 6.365 4.809
2.628 1.533 5.275
2.628 8.291 1.876
```